An optimized crystal structure of InFe2F8, computed with PBE+U.

Cell: 8.6295 6.6381 5.1175 Å, 90.00 104.49 90.00°
Closest atoms and distances in Å follow each position.
Space group C2/m (No. 12)
Symmetry-distinct sites (fractional):
In: 0.0000 0.0000 0.0000 x2  6 F 2.06-2.14
Fe: 0.1715 0.5000 0.4400 x4  5 F 1.98-2.15
F: 0.0658 0.5000 0.7452 x4  2 Fe 2.00-2.03
F: 0.1462 0.1962 0.2918 x8  1 In 2.14, 2 Fe 2.15-2.23
F: 0.1660 0.0000 0.7736 x4  1 Fe 1.98, 1 In 2.06

Values from the calculation:
- Volume: 12.90 Å³ per atom
- ΔE to the lowest computed polymorph: 14 meV/atom
- Total magnetic moment: 18.0 μB per cell
- Energy: -110.19 eV per cell



An optimized crystal structure of InFeF3, computed with PBE+U.

Cell: 4.3885 4.3885 4.3885 Å, 90.00 90.00 90.00°
Closest atoms and distances in Å follow each position.
Space group Pm-3m (No. 221)
Symmetry-distinct sites (fractional):
In: 0.0000 0.0000 0.0000 x1  6 F 2.19
Fe: 0.5000 0.5000 0.5000 x1  12 F 3.10
F: 0.0000 0.0000 0.5000 x3  2 In 2.19

Values from the calculation:
- Volume: 16.90 Å³ per atom
- ΔE to the lowest computed polymorph: 465 meV/atom
- Total magnetic moment: 3.1 μB per cell
- Energy: -20.86 eV per cell



An optimized crystal structure of InFeF2, computed with PBE+U.

Cell: 3.2420 3.2420 23.0154 Å, 90.00 90.00 120.00°
Closest atoms and distances in Å follow each position.
Space group R-3m (No. 166, hexagonal axes)
Symmetry-distinct sites (fractional):
In: 0.0000 0.0000 0.0000 x3  2 F 2.75
Fe: 0.0000 0.0000 0.5000 x3  6 F 2.16
F: 0.0000 0.0000 0.1197 x6  3 Fe 2.16

Values from the calculation:
- Volume: 17.46 Å³ per atom
- ΔE to the lowest computed polymorph: 0 meV/atom
- Total magnetic moment: 11.2 μB per cell
- Energy: -53.77 eV per cell



An optimized crystal structure of InFe4F12, computed with PBE+U.

Cell: 7.5550 8.0795 8.0936 Å, 90.00 90.00 90.00°
Closest atoms and distances in Å follow each position.
Space group Immm (No. 71)
Symmetry-distinct sites (fractional):
In: 0.0000 0.0000 0.0000 x2  8 F 2.25
Fe: 0.2500 0.2500 0.2500 x8  6 F 1.97-2.11
F: 0.0000 0.2998 0.2995 x8  2 Fe 1.97
F: 0.1753 0.0000 0.2253 x8  2 Fe 2.11, 1 In 2.25
F: 0.1755 0.2257 0.0000 x8  2 Fe 2.11, 1 In 2.25

Values from the calculation:
- Volume: 14.53 Å³ per atom
- Total magnetic moment: 34.0 μB per cell
- Energy: -176.73 eV per cell



An optimized crystal structure of In2FeF8, computed with PBE+U.

Cell: 18.6966 4.9308 4.1982 Å, 90.00 94.48 90.00°
Closest atoms and distances in Å follow each position.
Space group C2/m (No. 12)
Symmetry-distinct sites (fractional):
In: 0.1727 0.0000 0.4761 x4  5 F 2.07-2.11
Fe: 0.0000 0.0000 0.5000 x2  4 F 1.97
F: 0.0811 0.2498 0.4575 x8  1 Fe 1.97, 1 In 2.11
F: 0.1766 0.0000 0.9787 x4  2 In 2.10-2.11
F: 0.2163 0.5000 0.4852 x4  1 In 2.07

Values from the calculation:
- Volume: 17.54 Å³ per atom
- Total magnetic moment: 8.0 μB per cell
- Energy: -103.43 eV per cell



An optimized crystal structure of InFe3F, computed with PBE+U.

Cell: 5.1809 5.1809 5.1809 Å, 90.00 90.00 90.00°
Closest atoms and distances in Å follow each position.
Space group Pm-3m (No. 221)
Symmetry-distinct sites (fractional):
In: 0.0000 0.0000 0.0000 x1  6 Fe 2.59
Fe: 0.0000 0.0000 0.5000 x3  2 In 2.59
F: 0.5000 0.5000 0.5000 x1  12 Fe 3.66

Values from the calculation:
- Volume: 27.81 Å³ per atom
- ΔE to the lowest computed polymorph: 489 meV/atom
- Total magnetic moment: 12.0 μB per cell
- Energy: -17.17 eV per cell



An optimized crystal structure of In3FeF, computed with PBE+U.

Cell: 4.8901 4.8901 4.8901 Å, 90.00 90.00 90.00°
Closest atoms and distances in Å follow each position.
Space group Pm-3m (No. 221)
Symmetry-distinct sites (fractional):
In: 0.0000 0.0000 0.5000 x3  2 F 2.45
Fe: 0.5000 0.5000 0.5000 x1  12 In 3.46
F: 0.0000 0.0000 0.0000 x1  6 In 2.45

Values from the calculation:
- Volume: 23.39 Å³ per atom
- Total magnetic moment: 3.4 μB per cell
- Energy: -15.62 eV per cell



An optimized crystal structure of KInFeF6, computed with PBE+U.

Cell: 5.7093 5.7093 11.1047 Å, 90.00 90.00 120.00°
Closest atoms and distances in Å follow each position.
Space group P-31c (No. 163)
Symmetry-distinct sites (fractional):
K: 0.0000 0.0000 0.0000 x2  6 F 2.71
In: 0.3333 0.6667 0.2500 x2  6 F 2.12
Fe: 0.3333 0.6667 0.7500 x2  6 F 2.11
F: 0.9996 0.3746 0.1495 x12  1 Fe 2.11, 1 In 2.12

Values from the calculation:
- Volume: 17.42 Å³ per atom
- Total magnetic moment: 8.0 μB per cell
- Energy: -88.28 eV per cell